A geometry-optimized Na2MgCd3Sn4 structure. Source: the Alexandria database, functional PBE-GGA.

a b c (Å): 4.6353 4.6353 13.0189
angles (deg): 90.00 90.00 90.00
With the nearest neighbours (Å) after each atom.
Positions (direct):
Na 0.5000 0.0000 0.2616  4 Sn 3.53, 6 Cd 3.59-3.87, 2 Mg 3.87
Na 0.0000 0.5000 0.7384  4 Sn 3.53, 6 Cd 3.59-3.87, 2 Mg 3.87
Mg 0.5000 0.5000 0.5000  4 Sn 2.93, 4 Cd 3.28
Cd 0.0000 0.0000 0.5000  4 Sn 2.93, 4 Mg 3.28
Cd 0.5000 0.0000 0.8514  5 Sn 2.78-3.02
Cd 0.0000 0.5000 0.1486  5 Sn 2.78-3.02
Sn 0.5000 0.5000 0.0000  4 Cd 3.02, 4 Sn 3.28
Sn 0.0000 0.0000 0.0000  4 Cd 3.02, 4 Sn 3.28
Sn 0.5000 0.0000 0.6382  3 Cd 2.78-2.93, 2 Mg 2.93
Sn 0.0000 0.5000 0.3618  3 Cd 2.78-2.93, 2 Mg 2.93

Properties
SG   No. 115
Density   5.24 g cm⁻³
ΔH_f (0 K)   -0.11 eV per atom
Magnetization   0.0 μB/f.u.



A geometry-optimized NaSr2Mg12Cd3 structure. Source: the Alexandria database, functional PBE-GGA.

a b c (Å): 7.9010 7.9010 7.9010
angles (deg): 85.31 85.31 85.31
With the nearest neighbours (Å) after each atom.
Positions (direct):
Na 0.0000 0.0000 0.0000  6 Mg 3.08
Sr 0.7433 0.7433 0.7433  3 Cd 3.36, 9 Mg 3.53-3.70
Sr 0.2567 0.2567 0.2567  3 Cd 3.36, 9 Mg 3.53-3.70
Mg 0.4248 0.4248 0.8471  6 Mg 2.99-3.25
Mg 0.8029 0.8029 0.2957  1 Cd 2.95, 5 Mg 2.99-3.20, 1 Na 3.08
Mg 0.2957 0.8029 0.8029  1 Cd 2.95, 5 Mg 2.99-3.20, 1 Na 3.08
Mg 0.8471 0.4248 0.4248  6 Mg 2.99-3.25
Mg 0.8029 0.2957 0.8029  1 Cd 2.95, 5 Mg 2.99-3.20, 1 Na 3.08
Mg 0.4248 0.8471 0.4248  6 Mg 2.99-3.25
Mg 0.5752 0.5752 0.1529  6 Mg 2.99-3.25
Mg 0.1971 0.1971 0.7043  1 Cd 2.95, 5 Mg 2.99-3.20, 1 Na 3.08
Mg 0.7043 0.1971 0.1971  1 Cd 2.95, 5 Mg 2.99-3.20, 1 Na 3.08
Mg 0.1529 0.5752 0.5752  6 Mg 2.99-3.25
Mg 0.1971 0.7043 0.1971  1 Cd 2.95, 5 Mg 2.99-3.20, 1 Na 3.08
Mg 0.5752 0.1529 0.5752  6 Mg 2.99-3.25
Cd 0.5000 0.0000 0.0000  2 Mg 2.95
Cd 0.0000 0.5000 0.0000  2 Mg 2.95
Cd 0.0000 0.0000 0.5000  2 Mg 2.95

Properties
SG   No. 166
Density   2.81 g cm⁻³
ΔH_f (0 K)   0.06 eV per atom
Magnetization   0.0 μB/f.u.



A geometry-optimized NaMgCdTc2 structure. Source: the Alexandria database, functional PBE-GGA.

a b c (Å): 5.1145 5.0488 5.1145
angles (deg): 90.00 90.00 90.00
With the nearest neighbours (Å) after each atom.
Positions (direct):
Na 0.0000 0.5000 0.0000  2 Cd 2.52
Mg 0.5000 0.5000 0.5000  8 Tc 3.59, 4 Na 3.62
Tc 0.0000 0.0000 0.5000  2 Cd 2.56
Tc 0.5000 0.0000 0.0000  2 Cd 2.56
Cd 0.0000 0.0000 0.0000  2 Na 2.52, 4 Tc 2.56

Properties
SG   No. 123
Density   4.47 g cm⁻³
ΔH_f (0 K)   1.60 eV per atom
Magnetization   5.2 μB/f.u.



A geometry-optimized Na2MgTl2Cd structure. Source: the Alexandria database, functional PBE-GGA.

a b c (Å): 5.2499 6.5480 9.2944
angles (deg): 90.00 90.00 90.00
With the nearest neighbours (Å) after each atom.
Positions (direct):
Na 0.5000 0.0204 0.0162  3 Tl 3.27-3.35, 2 Cd 3.29-3.66, 6 Na 3.29-3.58
Na 0.0000 0.3231 0.1678  5 Tl 3.23-3.33, 1 Mg 3.33, 4 Na 3.39-3.58
Na 0.5000 0.5204 0.9838  3 Tl 3.27-3.35, 2 Cd 3.29-3.66, 6 Na 3.29-3.58
Na 0.0000 0.8231 0.8322  5 Tl 3.23-3.33, 1 Mg 3.33, 4 Na 3.39-3.58
Mg 0.0000 0.0249 0.5027  4 Tl 3.18-3.45, 2 Cd 3.23, 2 Mg 3.27, 1 Na 3.33
Mg 0.0000 0.5249 0.4973  4 Tl 3.18-3.45, 2 Cd 3.23, 2 Mg 3.27, 1 Na 3.33
Tl 0.0000 0.3211 0.8100  2 Cd 3.06, 1 Mg 3.20, 5 Na 3.27-3.35
Tl 0.5000 0.1879 0.3474  3 Cd 3.08-3.41, 2 Mg 3.18, 3 Na 3.23-3.27
Tl 0.0000 0.8211 0.1900  2 Cd 3.06, 1 Mg 3.20, 5 Na 3.27-3.35
Tl 0.5000 0.6879 0.6526  3 Cd 3.08-3.41, 2 Mg 3.18, 3 Na 3.23-3.27
Cd 0.5000 0.1683 0.6782  5 Tl 3.06-3.41, 2 Mg 3.23, 1 Na 3.29
Cd 0.5000 0.6683 0.3218  5 Tl 3.06-3.41, 2 Mg 3.23, 1 Na 3.29

Properties
SG   No. 26
Density   6.15 g cm⁻³
ΔH_f (0 K)   -0.06 eV per atom
Magnetization   0.0 μB/f.u.



A geometry-optimized Na2MgTl4Cd2 structure. Source: the Alexandria database, functional PBE-GGA.

a b c (Å): 3.8946 7.8650 8.3431
angles (deg): 103.14 90.00 104.33
With the nearest neighbours (Å) after each atom.
Positions (direct):
Na 0.8871 0.7743 0.3566  7 Tl 3.19-3.49, 2 Cd 3.39
Na 0.1129 0.2257 0.6434  7 Tl 3.19-3.49, 2 Cd 3.39
Mg 0.0000 0.0000 0.0000  4 Tl 3.11, 4 Cd 3.22
Tl 0.7829 0.5658 0.6871  3 Na 3.19-3.49, 2 Tl 3.25, 3 Cd 3.30-3.38
Tl 0.2171 0.4342 0.3129  3 Na 3.19-3.49, 2 Tl 3.25, 3 Cd 3.30-3.38
Tl 0.5450 0.0899 0.2990  2 Mg 3.11, 4 Na 3.22-3.42, 2 Tl 3.25
Tl 0.4550 0.9101 0.7010  2 Mg 3.11, 4 Na 3.22-3.42, 2 Tl 3.25
Cd 0.3341 0.6683 0.0155  2 Cd 3.18, 2 Mg 3.22, 5 Tl 3.30-3.54, 2 Na 3.39
Cd 0.6659 0.3317 0.9845  2 Cd 3.18, 2 Mg 3.22, 5 Tl 3.30-3.54, 2 Na 3.39

Properties
SG   No. 12
Density   7.68 g cm⁻³
ΔH_f (0 K)   -0.06 eV per atom
Magnetization   0.0 μB/f.u.



A geometry-optimized NaMg2Tl5Cd structure. Source: the Alexandria database, functional PBE-GGA.

a b c (Å): 3.4028 8.7421 16.9078
angles (deg): 90.00 90.00 101.22
With the nearest neighbours (Å) after each atom.
Positions (direct):
Na 0.5742 0.1485 0.9466  5 Tl 3.11-3.38, 2 Cd 3.31, 2 Na 3.40
Na 0.4258 0.8515 0.4466  5 Tl 3.11-3.38, 2 Cd 3.31, 2 Na 3.40
Mg 0.9342 0.8683 0.8106  8 Tl 3.21-3.42, 2 Mg 3.40
Mg 0.1538 0.3077 0.6152  6 Tl 3.09-3.23, 2 Cd 3.13, 2 Mg 3.40
Mg 0.0658 0.1317 0.3106  8 Tl 3.21-3.42, 2 Mg 3.40
Mg 0.8462 0.6923 0.1152  6 Tl 3.09-3.23, 2 Cd 3.13, 2 Mg 3.40
Tl 0.3941 0.7882 0.9662  1 Na 3.11, 4 Mg 3.15-3.21, 1 Cd 3.32, 4 Tl 3.40-3.48
Tl 0.7439 0.4878 0.8712  1 Na 3.18, 2 Cd 3.33, 7 Tl 3.37-3.48, 1 Mg 3.42
Tl 0.5850 0.1699 0.7543  4 Mg 3.13-3.24, 1 Na 3.26, 3 Tl 3.37-3.40
Tl 0.3092 0.6184 0.7077  3 Mg 3.09-3.24, 2 Cd 3.36, 4 Tl 3.40-3.43
Tl 0.9655 0.9310 0.6148  2 Mg 3.23-3.35, 1 Cd 3.34, 2 Na 3.38, 6 Tl 3.40-3.56
Tl 0.6059 0.2118 0.4662  1 Na 3.11, 4 Mg 3.15-3.21, 1 Cd 3.32, 4 Tl 3.40-3.48
Tl 0.2561 0.5122 0.3712  1 Na 3.18, 2 Cd 3.33, 7 Tl 3.37-3.48, 1 Mg 3.42
Tl 0.4150 0.8301 0.2543  4 Mg 3.13-3.24, 1 Na 3.26, 3 Tl 3.37-3.40
Tl 0.6908 0.3816 0.2077  3 Mg 3.09-3.24, 2 Cd 3.36, 4 Tl 3.40-3.43
Tl 0.0345 0.0690 0.1148  2 Mg 3.23-3.35, 1 Cd 3.34, 2 Na 3.38, 6 Tl 3.40-3.56
Cd 0.7865 0.5730 0.5375  2 Mg 3.13, 2 Na 3.31, 6 Tl 3.32-3.36, 2 Cd 3.40
Cd 0.2135 0.4270 0.0375  2 Mg 3.13, 2 Na 3.31, 6 Tl 3.32-3.36, 2 Cd 3.40

Properties
SG   No. 36
Density   8.12 g cm⁻³
ΔH_f (0 K)   -0.02 eV per atom
Magnetization   0.0 μB/f.u.



A geometry-optimized NaMgTl3Cd structure. Source: the Alexandria database, functional PBE-GGA.

a b c (Å): 4.8291 7.1624 10.0573
angles (deg): 111.48 90.00 90.00
With the nearest neighbours (Å) after each atom.
Positions (direct):
Na 0.2500 0.1377 0.2898  3 Cd 3.32-3.47, 8 Tl 3.33-3.47, 1 Mg 3.47
Na 0.7500 0.8623 0.7102  3 Cd 3.32-3.47, 8 Tl 3.33-3.47, 1 Mg 3.47
Mg 0.2500 0.6182 0.1290  7 Tl 3.14-3.29, 2 Cd 3.44, 1 Na 3.47, 2 Mg 3.49
Mg 0.7500 0.3818 0.8710  7 Tl 3.14-3.29, 2 Cd 3.44, 1 Na 3.47, 2 Mg 3.49
Tl 0.7500 0.8602 0.0513  1 Cd 3.15, 3 Mg 3.23-3.24, 3 Na 3.44-3.47, 4 Tl 3.48-3.52
Tl 0.2500 0.1398 0.9487  1 Cd 3.15, 3 Mg 3.23-3.24, 3 Na 3.44-3.47, 4 Tl 3.48-3.52
Tl 0.2500 0.6524 0.4592  3 Cd 3.17-3.21, 1 Mg 3.24, 3 Na 3.42-3.45, 5 Tl 3.54-3.55
Tl 0.7500 0.3476 0.5408  3 Cd 3.17-3.21, 1 Mg 3.24, 3 Na 3.42-3.45, 5 Tl 3.54-3.55
Tl 0.7500 0.3899 0.2002  3 Mg 3.14-3.29, 1 Cd 3.28, 2 Na 3.33, 2 Tl 3.48
Tl 0.2500 0.6101 0.7998  3 Mg 3.14-3.29, 1 Cd 3.28, 2 Na 3.33, 2 Tl 3.48
Cd 0.2500 0.1222 0.6310  5 Tl 3.15-3.28, 3 Na 3.32-3.47, 2 Mg 3.44
Cd 0.7500 0.8778 0.3690  5 Tl 3.15-3.28, 3 Na 3.32-3.47, 2 Mg 3.44

Properties
SG   No. 11
Density   7.93 g cm⁻³
ΔH_f (0 K)   -0.05 eV per atom
Magnetization   0.0 μB/f.u.



A geometry-optimized Na2MgTl5Cd2 structure. Source: the Alexandria database, functional PBE-GGA.

a b c (Å): 4.3678 11.5165 11.5165
angles (deg): 90.00 90.00 90.00
With the nearest neighbours (Å) after each atom.
Positions (direct):
Na 0.0000 0.6682 0.1682  3 Cd 3.25-3.48, 2 Tl 3.50
Na 0.0000 0.3318 0.8318  3 Cd 3.25-3.48, 2 Tl 3.50
Na 0.0000 0.1682 0.3318  3 Cd 3.25-3.48, 2 Tl 3.50
Na 0.0000 0.8318 0.6682  3 Cd 3.25-3.48, 2 Tl 3.50
Mg 0.0000 0.0000 0.0000  8 Tl 3.20
Mg 0.0000 0.5000 0.5000  8 Tl 3.20
Tl 0.5000 0.1885 0.0742  2 Cd 3.08, 2 Mg 3.20, 2 Tl 3.30
Tl 0.5000 0.8115 0.9258  2 Cd 3.08, 2 Mg 3.20, 2 Tl 3.30
Tl 0.5000 0.0742 0.8115  2 Cd 3.08, 2 Mg 3.20, 2 Tl 3.30
Tl 0.5000 0.6885 0.4258  2 Cd 3.08, 2 Mg 3.20, 2 Tl 3.30
Tl 0.5000 0.9258 0.1885  2 Cd 3.08, 2 Mg 3.20, 2 Tl 3.30
Tl 0.5000 0.3115 0.5742  2 Cd 3.08, 2 Mg 3.20, 2 Tl 3.30
Tl 0.5000 0.5742 0.6885  2 Cd 3.08, 2 Mg 3.20, 2 Tl 3.30
Tl 0.5000 0.4258 0.3115  2 Cd 3.08, 2 Mg 3.20, 2 Tl 3.30
Tl 0.5000 0.5000 0.0000  4 Cd 3.07
Tl 0.5000 0.0000 0.5000  4 Cd 3.07
Cd 0.0000 0.1322 0.6322  6 Tl 3.07-3.08, 1 Na 3.25
Cd 0.0000 0.8678 0.3678  6 Tl 3.07-3.08, 1 Na 3.25
Cd 0.0000 0.6322 0.8678  6 Tl 3.07-3.08, 1 Na 3.25
Cd 0.0000 0.3678 0.1322  6 Tl 3.07-3.08, 1 Na 3.25

Properties
SG   No. 127
Density   7.55 g cm⁻³
ΔH_f (0 K)   -0.02 eV per atom
Magnetization   0.0 μB/f.u.



Among the records above, which one has the highest density? NaMg2Tl5Cd